# 1
Density functional theory data (PBE) for an optimized crystal structure of CsRbAs.

## Properties
Theoretical density = 2.81 g cm⁻³
Energy relative to the elements = -276 meV/atom
V = 57.822 Å³/atom
Fermi-level density of states = 6.6 states/eV per cell
Energy = -2.43 eV/atom
Space-group type = No. 2

a b c (Å): 5.339 6.405 11.170
angles (deg): 92.17 90.21 114.62
Element x y z (fractional)
1 Cs 0.134 0.263 0.312
2 Cs 0.866 0.737 0.688
3 Rb 0.149 0.298 0.926
4 Rb 0.851 0.702 0.074
5 As 0.459 0.919 0.894
6 As 0.541 0.081 0.106

# 2
Density functional theory data (PBE) for an optimized crystal structure of Pu4CdIr2.

## Properties
Theoretical density = 17.19 g cm⁻³
Energy relative to the elements = -117 meV/atom
V = 20.323 Å³/atom
Fermi-level density of states = 25.5 states/eV per cell
Energy = -10.97 eV/atom
Space-group type = No. 166

a b c (Å): 7.931 7.931 7.931
angles (deg): 34.43 34.43 34.43
Element x y z (fractional)
1 Pu 0.066 0.066 0.066
2 Pu 0.233 0.233 0.233
3 Pu 0.767 0.767 0.767
4 Pu 0.934 0.934 0.934
5 Cd 0.500 0.500 0.500
6 Ir 0.362 0.362 0.362
7 Ir 0.638 0.638 0.638

# 3
Density functional theory data (PBE) for an optimized crystal structure of Ca2TaF.

## Properties
Theoretical density = 4.37 g cm⁻³
V = 26.579 Å³/atom
Fermi-level density of states = 4.1 states/eV per cell
Energy = -4.15 eV/atom
Formation energy (no corrections) = 0.283 eV per atom
Space-group type = No. 225

a b c (Å): 5.317 5.317 5.317
angles (deg): 60.00 60.00 60.00
Element x y z (fractional)
1 Ca 0.250 0.250 0.250
2 Ca 0.750 0.750 0.750
3 Ta 0.000 0.000 0.000
4 F 0.500 0.500 0.500

# 4
Density functional theory data (PBE) for an optimized crystal structure of HoNpAs2.

## Properties
Theoretical density = 9.26 g cm⁻³
Energy relative to the elements = -960 meV/atom
V = 24.740 Å³/atom
Fermi-level density of states = 7.3 states/eV per cell
Energy = -7.66 eV/atom
Space-group type = No. 160

a b c (Å): 7.552 7.552 7.552
angles (deg): 30.60 30.60 30.60
Element x y z (fractional)
1 Ho 0.000 0.000 0.000
2 Np 0.171 0.171 0.171
3 As 0.418 0.418 0.418
4 As 0.588 0.588 0.588

# 5
Density functional theory data (PBE) for an optimized crystal structure of LiLaCdAg2.

## Properties
Theoretical density = 6.86 g cm⁻³
Energy relative to the elements = -82 meV/atom
V = 22.958 Å³/atom
Fermi-level density of states = 3.4 states/eV per cell
Energy = -2.77 eV/atom
Space-group type = No. 123

a b c (Å): 4.851 4.851 4.877
angles (deg): 90.00 90.00 90.00
Element x y z (fractional)
1 Li 0.000 0.000 0.000
2 La 0.500 0.500 0.500
3 Cd 0.000 0.000 0.500
4 Ag 0.000 0.500 0.000
5 Ag 0.500 0.000 0.000

# 6
Density functional theory data (PBE) for an optimized crystal structure of SmIn3Hg2.

## Properties
Theoretical density = 9.78 g cm⁻³
Energy relative to the elements = -255 meV/atom
V = 25.347 Å³/atom
Fermi-level density of states = 2.6 states/eV per cell
Energy = -2.51 eV/atom
Space-group type = No. 65

a b c (Å): 7.359 7.359 4.695
angles (deg): 90.00 90.00 143.26
Element x y z (fractional)
1 Sm 0.000 0.000 0.000
2 In 0.172 0.828 0.500
3 In 0.500 0.500 0.500
4 In 0.828 0.172 0.500
5 Hg 0.332 0.668 0.000
6 Hg 0.668 0.332 0.000

# 7
Density functional theory data (PBE) for an optimized crystal structure of Mn2V2Au.

## Properties
Theoretical density = 9.87 g cm⁻³
Energy relative to the elements = 89 meV/atom
V = 13.753 Å³/atom
Fermi-level density of states = 11.9 states/eV per cell
Energy = -7.88 eV/atom
Space-group type = No. 127

a b c (Å): 6.928 6.928 2.865
angles (deg): 90.00 90.00 90.00
Element x y z (fractional)
1 Mn 0.135 0.365 0.000
2 Mn 0.365 0.865 0.000
3 Mn 0.635 0.135 0.000
4 Mn 0.865 0.635 0.000
5 V 0.163 0.663 0.500
6 V 0.337 0.163 0.500
7 V 0.663 0.837 0.500
8 V 0.837 0.337 0.500
9 Au 0.000 0.000 0.000
10 Au 0.500 0.500 0.000

# 8
Density functional theory data (PBE) for an optimized crystal structure of NiMo5.

## Properties
Theoretical density = 9.72 g cm⁻³
Energy relative to the elements = 258 meV/atom
V = 15.331 Å³/atom
Fermi-level density of states = 6.5 states/eV per cell
Energy = -9.73 eV/atom
Space-group type = No. 38

a b c (Å): 4.568 7.871 7.871
angles (deg): 18.97 90.00 90.00
Element x y z (fractional)
1 Ni 0.000 0.000 0.000
2 Mo 0.000 0.344 0.344
3 Mo 0.000 0.667 0.667
4 Mo 0.500 0.099 0.099
5 Mo 0.500 0.441 0.441
6 Mo 0.500 0.768 0.768

# 9
Density functional theory data (PBE) for an optimized crystal structure of AcZnCo2H8.

## Properties
Theoretical density = 6.83 g cm⁻³
V = 8.478 Å³/atom
Fermi-level density of states = 3.4 states/eV per cell
Energy = -3.95 eV/atom
Space-group type = No. 147

a b c (Å): 4.428 4.428 5.992
angles (deg): 90.00 90.00 120.00
Element x y z (fractional)
1 Ac 0.000 0.000 0.000
2 Zn 0.000 0.000 0.500
3 Co 0.333 0.667 0.582
4 Co 0.667 0.333 0.418
5 H 0.059 0.628 0.357
6 H 0.333 0.667 0.862
7 H 0.372 0.430 0.357
8 H 0.430 0.059 0.643
9 H 0.570 0.941 0.357
10 H 0.628 0.570 0.643
11 H 0.667 0.333 0.138
12 H 0.941 0.372 0.643

# 10
Density functional theory data (PBE) for an optimized crystal structure of HfIrPd2Br.

## Properties
Theoretical density = 9.29 g cm⁻³
V = 23.713 Å³/atom
Fermi-level density of states = 4.9 states/eV per cell
Energy = -5.07 eV/atom
Formation energy (no corrections) = 1.105 eV per atom
Space-group type = No. 123

a b c (Å): 4.907 4.907 4.925
angles (deg): 90.00 90.00 90.00
Element x y z (fractional)
1 Hf 0.000 0.000 0.000
2 Ir 0.500 0.500 0.500
3 Pd 0.000 0.500 0.000
4 Pd 0.500 0.000 0.000
5 Br 0.000 0.000 0.500

# 11
Density functional theory data (PBE) for an optimized crystal structure of NpTiNb2.

## Properties
Theoretical density = 10.56 g cm⁻³
Energy relative to the elements = 258 meV/atom
V = 18.508 Å³/atom
Fermi-level density of states = 8.6 states/eV per cell
Energy = -9.99 eV/atom
Space-group type = No. 123

a b c (Å): 3.362 3.362 6.550
angles (deg): 90.00 90.00 90.00
Element x y z (fractional)
1 Np 0.000 0.000 0.000
2 Ti 0.000 0.000 0.500
3 Nb 0.500 0.500 0.242
4 Nb 0.500 0.500 0.758

# 12
Density functional theory data (PBE) for an optimized crystal structure of BaCa5In3.

## Properties
Theoretical density = 3.73 g cm⁻³
Energy relative to the elements = -307 meV/atom
V = 33.749 Å³/atom
Fermi-level density of states = 22.4 states/eV per cell
Energy = -2.55 eV/atom
Space-group type = No. 193

a b c (Å): 9.818 9.818 7.277
angles (deg): 90.00 90.00 120.00
Element x y z (fractional)
1 Ba 0.000 0.000 0.000
2 Ba 0.000 0.000 0.500
3 Ca 0.000 0.340 0.250
4 Ca 0.000 0.660 0.750
5 Ca 0.333 0.667 0.000
6 Ca 0.333 0.667 0.500
7 Ca 0.340 0.000 0.250
8 Ca 0.340 0.340 0.750
9 Ca 0.660 0.000 0.750
10 Ca 0.660 0.660 0.250
11 Ca 0.667 0.333 0.000
12 Ca 0.667 0.333 0.500
13 In 0.000 0.338 0.750
14 In 0.000 0.662 0.250
15 In 0.338 0.000 0.750
16 In 0.338 0.338 0.250
17 In 0.662 0.000 0.250
18 In 0.662 0.662 0.750

M_tot: 0.15 0.84 5.81 3.96 0.00 0.00 3.41 0.00 0.00 1.13 2.32 0.00 (μB/cell)